(1)
Material: Au2Se
Method: DFT, PBE
State: relaxed

## Properties
- calculated volume (Å³/f.u.) = 61.81
- formation energy from raw total energies (meV/atom) = 330
- SG = No. 141

Lattice parameters (Å, degrees): 10.2586 10.2586 10.2586 160.22 160.22 28.12
With the nearest neighbours (Å) after each atom.
Fractional positions:
Au  0.3026  0.5526  0.7500  3 Au 2.74-2.88, 4 Se 2.88
Au  0.4474  0.6974  0.7500  3 Au 2.74-2.88, 4 Se 2.88
Au  0.5526  0.3026  0.2500  3 Au 2.74-2.88, 4 Se 2.88
Au  0.6974  0.4474  0.2500  3 Au 2.74-2.88, 4 Se 2.88
Se  0.1250  0.8750  0.2500  8 Au 2.88
Se  0.8750  0.1250  0.7500  8 Au 2.88


(2)
Material: Au3Se
Method: DFT, PBE
State: relaxed

## Properties
- calculated volume (Å³/f.u.) = 79.21
- formation energy from raw total energies (meV/atom) = 92
- SG = No. 47

Lattice parameters (Å, degrees): 2.9095 3.6869 7.3845 90.00 90.00 90.00
With the nearest neighbours (Å) after each atom.
Fractional positions:
Au  0.0000  0.0000  0.0000  10 Au 2.89-2.91
Au  0.5000  0.5000  0.2275  2 Se 2.73, 6 Au 2.89-2.91
Au  0.5000  0.5000  0.7725  2 Se 2.73, 6 Au 2.89-2.91
Se  0.5000  0.0000  0.5000  4 Au 2.73, 2 Se 2.91


(3)
Material: AuSe2
Method: DFT, PBE
State: relaxed

## Properties
- calculated volume (Å³/f.u.) = 81.02
- formation energy from raw total energies (meV/atom) = 184
- SG = No. 8

Lattice parameters (Å, degrees): 7.4016 7.4016 7.7560 104.22 104.22 23.20
With the nearest neighbours (Å) after each atom.
Fractional positions:
Au  0.0000  0.0000  0.0000  3 Se 2.56-2.73
Au  0.2477  0.2477  0.9223  4 Se 2.63-2.64
Se  0.4495  0.4495  0.3049  1 Se 2.29
Se  0.5898  0.5898  0.5216  1 Se 2.29
Se  0.6619  0.6619  0.1161  4 Au 2.64-2.73
Se  0.8460  0.8460  0.7521  3 Au 2.56-2.63


(4)
Material: Au3Se5
Method: DFT, PBE
State: relaxed

## Properties
- calculated volume (Å³/f.u.) = 249.18
- formation energy from raw total energies (meV/atom) = -5
- SG = No. 1
- energy above the lowest structure with this stoichiometry (meV per atom) = 0

Lattice parameters (Å, degrees): 7.1656 7.6172 10.1497 80.79 76.80 68.00
With the nearest neighbours (Å) after each atom.
Fractional positions:
Au  0.0000  0.0000  0.0000  4 Se 2.52-2.54
Au  0.9998  0.4978  0.0014  4 Se 2.52-2.54
Au  0.4113  0.7094  0.7263  2 Se 2.46-2.50
Au  0.7334  0.8286  0.7736  2 Se 2.43-2.47
Au  0.7490  0.2973  0.3001  4 Se 2.51-2.57
Au  0.9470  0.4433  0.5633  4 Se 2.52-2.59
Se  0.0847  0.0866  0.5639  1 Se 2.41, 1 Au 2.52
Se  0.1381  0.1265  0.2797  2 Se 2.54-2.80, 1 Au 2.57
Se  0.2434  0.1570  0.0228  2 Au 2.52-2.54, 1 Se 2.54
Se  0.2515  0.6670  0.9656  3 Au 2.46-2.52
Se  0.2581  0.5337  0.5604  1 Se 2.33, 1 Au 2.56
Se  0.3879  0.5300  0.3275  1 Se 2.33, 1 Au 2.51
Se  0.6893  0.7767  0.5507  3 Au 2.47-2.52
Se  0.7274  0.2436  0.5525  1 Se 2.41, 2 Au 2.51-2.59
Se  0.7433  0.3292  0.0484  3 Au 2.53-2.54
Se  0.7496  0.8368  0.0091  3 Au 2.43-2.53


(5)
Material: Au3Se
Method: DFT, PBE
State: relaxed

## Properties
- calculated volume (Å³/f.u.) = 131.27
- formation energy from raw total energies (meV/atom) = 513
- SG = No. 221

Lattice parameters (Å, degrees): 5.0823 5.0823 5.0823 90.00 90.00 90.00
With the nearest neighbours (Å) after each atom.
Fractional positions:
Au  0.0000  0.0000  0.5000  2 Se 2.54
Au  0.0000  0.5000  0.0000  2 Se 2.54
Au  0.5000  0.0000  0.0000  2 Se 2.54
Se  0.0000  0.0000  0.0000  6 Au 2.54


(6)
Material: AuSe
Method: DFT, PBE
State: relaxed

## Properties
- calculated volume (Å³/f.u.) = 52.41
- formation energy from raw total energies (meV/atom) = 99
- SG = No. 216

Lattice parameters (Å, degrees): 4.2006 4.2006 4.2006 60.00 60.00 60.00
With the nearest neighbours (Å) after each atom.
Fractional positions:
Au  0.0000  0.0000  0.0000  4 Se 2.57
Se  0.7500  0.7500  0.7500  4 Au 2.57


Question: Which of these has the lowest formation energy from raw total energies?
Answer: Au3Se5


Question: calculated volume of number 4 (Au3Se5)?
Answer: 249.18 Å³/f.u.


Question: Which value of calculated volume does entry 5 give?
Answer: 131.27 Å³/f.u.